#i
# AcCuGe3 | the Alexandria database | GGA-PBE | optimized geometry
data_AcCuGe3
_chemical_formula_sum 'Ac1 Cu1 Ge3'
_space_group_name_H-M_alt 'P 1'
_space_group_IT_number 1
_space_group_name_Hall 'P 1'
_cell_length_a 4.855
_cell_length_b 4.855
_cell_length_c 4.855
_cell_angle_alpha 90.00
_cell_angle_beta 90.00
_cell_angle_gamma 90.00
loop_
_atom_site_label
_atom_site_type_symbol
_atom_site_fract_x
_atom_site_fract_y
_atom_site_fract_z
Ac1 Ac 0.500 0.500 0.500
Cu1 Cu 0.000 0.000 0.000
Ge1 Ge 0.000 0.500 0.000
Ge2 Ge 0.000 0.000 0.500
Ge3 Ge 0.500 0.000 0.000
# space-group type	Pm-3m, No. 221
# D(E_F)	4.586	states/eV/cell

---

#ii
# AcCuGe3 | the Alexandria database | GGA-PBE | optimized geometry
data_AcCuGe3
_chemical_formula_sum 'Ac1 Cu1 Ge3'
_space_group_name_H-M_alt 'P 1'
_space_group_IT_number 1
_space_group_name_Hall 'P 1'
_cell_length_a 4.668
_cell_length_b 4.668
_cell_length_c 5.850
_cell_angle_alpha 113.51
_cell_angle_beta 113.51
_cell_angle_gamma 90.00
loop_
_atom_site_label
_atom_site_type_symbol
_atom_site_fract_x
_atom_site_fract_y
_atom_site_fract_z
Cu1 Cu 0.655 0.655 0.310
Ge1 Ge 0.399 0.399 0.799
Ge2 Ge 0.262 0.762 0.523
Ge3 Ge 0.762 0.262 0.523
Ac1 Ac 0.012 0.012 0.025
# space-group type	I4mm, No. 107
# D(E_F)	1.258	states/eV/cell

---

Name the most stable of them. #ii.

---

#i
# AcCu3Ge2 | the Alexandria database | GGA-PBE | optimized geometry
data_AcCu3Ge2
_chemical_formula_sum 'Ac2 Cu6 Ge4'
_space_group_name_H-M_alt 'P 1'
_space_group_IT_number 1
_space_group_name_Hall 'P 1'
_cell_length_a 4.186
_cell_length_b 6.750
_cell_length_c 8.553
_cell_angle_alpha 90.90
_cell_angle_beta 104.16
_cell_angle_gamma 90.00
loop_
_atom_site_label
_atom_site_type_symbol
_atom_site_fract_x
_atom_site_fract_y
_atom_site_fract_z
Ge1 Ge 0.450 0.154 0.901
Ge2 Ge 0.250 0.718 0.501
Ge3 Ge 0.550 0.846 0.099
Ge4 Ge 0.750 0.282 0.499
Cu1 Cu 0.326 0.414 0.651
Cu2 Cu 0.702 0.941 0.403
Cu3 Cu 0.674 0.586 0.349
Cu4 Cu 0.298 0.059 0.597
Cu5 Cu 0.107 0.756 0.215
Cu6 Cu 0.893 0.244 0.785
Ac1 Ac 0.100 0.251 0.200
Ac2 Ac 0.900 0.749 0.800
# space-group type	C2/m, No. 12
# D(E_F)	4.170	states/eV/cell

---

#ii
# AcCu3Ge2 | the Alexandria database | GGA-PBE | optimized geometry
data_AcCu3Ge2
_chemical_formula_sum 'Ac2 Cu6 Ge4'
_space_group_name_H-M_alt 'P 1'
_space_group_IT_number 1
_space_group_name_Hall 'P 1'
_cell_length_a 4.215
_cell_length_b 8.213
_cell_length_c 7.281
_cell_angle_alpha 113.55
_cell_angle_beta 90.00
_cell_angle_gamma 104.87
loop_
_atom_site_label
_atom_site_type_symbol
_atom_site_fract_x
_atom_site_fract_y
_atom_site_fract_z
Cu1 Cu 0.030 0.060 0.369
Cu2 Cu 0.311 0.622 0.546
Cu3 Cu 0.411 0.821 0.351
Cu4 Cu 0.970 0.940 0.631
Cu5 Cu 0.689 0.378 0.454
Cu6 Cu 0.589 0.179 0.649
Ge1 Ge 0.523 0.046 0.195
Ge2 Ge 0.815 0.630 0.336
Ge3 Ge 0.477 0.954 0.805
Ge4 Ge 0.185 0.370 0.664
Ac1 Ac 0.848 0.697 0.921
Ac2 Ac 0.152 0.303 0.079
# space-group type	C2/m, No. 12
# D(E_F)	5.844	states/eV/cell

---

Name the most stable of them. #ii.

---

#i
# AcCu3Ge | the Alexandria database | GGA-PBE | optimized geometry
data_AcCu3Ge
_chemical_formula_sum 'Ac2 Cu6 Ge2'
_space_group_name_H-M_alt 'P 1'
_space_group_IT_number 1
_space_group_name_Hall 'P 1'
_cell_length_a 6.633
_cell_length_b 6.633
_cell_length_c 6.633
_cell_angle_alpha 90.00
_cell_angle_beta 120.00
_cell_angle_gamma 120.00
loop_
_atom_site_label
_atom_site_type_symbol
_atom_site_fract_x
_atom_site_fract_y
_atom_site_fract_z
Ac1 Ac 0.000 0.250 0.250
Ac2 Ac 0.000 0.750 0.750
Cu1 Cu 0.500 0.250 0.250
Cu2 Cu 0.500 0.750 0.250
Cu3 Cu 0.000 0.750 0.250
Cu4 Cu 0.500 0.250 0.750
Cu5 Cu 0.000 0.250 0.750
Cu6 Cu 0.500 0.750 0.750
Ge1 Ge 0.500 0.500 0.000
Ge2 Ge 0.500 0.000 0.500
# space-group type	Pm-3m, No. 221
# D(E_F)	6.983	states/eV/cell

---

#ii
# AcCu3Ge | the Alexandria database | GGA-PBE | optimized geometry
data_AcCu3Ge
_chemical_formula_sum 'Ac2 Cu6 Ge2'
_space_group_name_H-M_alt 'P 1'
_space_group_IT_number 1
_space_group_name_Hall 'P 1'
_cell_length_a 5.757
_cell_length_b 6.012
_cell_length_c 6.028
_cell_angle_alpha 89.99
_cell_angle_beta 90.00
_cell_angle_gamma 90.06
loop_
_atom_site_label
_atom_site_type_symbol
_atom_site_fract_x
_atom_site_fract_y
_atom_site_fract_z
Cu1 Cu 0.429 0.817 0.995
Cu2 Cu 0.928 0.536 0.907
Cu3 Cu 0.441 0.174 0.201
Cu4 Cu 0.929 0.536 0.495
Cu5 Cu 0.941 0.178 0.701
Cu6 Cu 0.429 0.817 0.407
Ac1 Ac 0.935 0.998 0.201
Ac2 Ac 0.435 0.355 0.701
Ge1 Ge 0.145 0.833 0.701
Ge2 Ge 0.645 0.520 0.201
# space-group type	Pm, No. 6
# D(E_F)	3.225	states/eV/cell

---

Name the most stable of them. #ii.

---

#i
# Ac3CuGe2 | the Alexandria database | GGA-PBE | optimized geometry
data_Ac3CuGe2
_chemical_formula_sum 'Ac6 Cu2 Ge4'
_space_group_name_H-M_alt 'P 1'
_space_group_IT_number 1
_space_group_name_Hall 'P 1'
_cell_length_a 6.503
_cell_length_b 9.030
_cell_length_c 7.896
_cell_angle_alpha 106.30
_cell_angle_beta 114.32
_cell_angle_gamma 90.00
loop_
_atom_site_label
_atom_site_type_symbol
_atom_site_fract_x
_atom_site_fract_y
_atom_site_fract_z
Ge1 Ge 0.649 0.084 0.324
Ge2 Ge 0.325 0.416 0.676
Ge3 Ge 0.351 0.916 0.676
Ge4 Ge 0.675 0.584 0.324
Ac1 Ac 0.834 0.916 0.652
Ac2 Ac 0.166 0.084 0.348
Ac3 Ac 0.818 0.416 0.652
Ac4 Ac 0.434 0.750 0.000
Ac5 Ac 0.182 0.584 0.348
Ac6 Ac 0.566 0.250 0.000
Cu1 Cu 0.073 0.250 0.000
Cu2 Cu 0.927 0.750 0.000
# space-group type	C2/c, No. 15
# D(E_F)	6.196	states/eV/cell

---

#ii
# Ac3CuGe2 | the Alexandria database | GGA-PBE | optimized geometry
data_Ac3CuGe2
_chemical_formula_sum 'Ac12 Cu4 Ge8'
_space_group_name_H-M_alt 'P 1'
_space_group_IT_number 1
_space_group_name_Hall 'P 1'
_cell_length_a 4.504
_cell_length_b 12.645
_cell_length_c 12.541
_cell_angle_alpha 90.00
_cell_angle_beta 90.00
_cell_angle_gamma 90.00
loop_
_atom_site_label
_atom_site_type_symbol
_atom_site_fract_x
_atom_site_fract_y
_atom_site_fract_z
Cu1 Cu 0.250 0.363 0.630
Cu2 Cu 0.250 0.137 0.130
Cu3 Cu 0.750 0.637 0.370
Cu4 Cu 0.750 0.863 0.870
Ac1 Ac 0.750 0.199 0.293
Ac2 Ac 0.750 0.556 0.617
Ac3 Ac 0.250 0.122 0.564
Ac4 Ac 0.750 0.622 0.936
Ac5 Ac 0.250 0.056 0.883
Ac6 Ac 0.750 0.944 0.117
Ac7 Ac 0.250 0.444 0.383
Ac8 Ac 0.250 0.801 0.707
Ac9 Ac 0.250 0.378 0.064
Ac10 Ac 0.250 0.699 0.207
Ac11 Ac 0.750 0.301 0.793
Ac12 Ac 0.750 0.878 0.436
Ge1 Ge 0.250 0.814 0.971
Ge2 Ge 0.750 0.314 0.529
Ge3 Ge 0.250 0.491 0.802
Ge4 Ge 0.750 0.509 0.198
Ge5 Ge 0.250 0.009 0.302
Ge6 Ge 0.750 0.186 0.029
Ge7 Ge 0.750 0.991 0.698
Ge8 Ge 0.250 0.686 0.471
# space-group type	Pnma, No. 62
# D(E_F)	22.621	states/eV/cell

---

Name the most stable of them. #ii.

---

#i
# AcCuPH | the Alexandria database | GGA-PBE | optimized geometry
data_AcCuPH
_chemical_formula_sum 'Ac1 Cu1 P1 H1'
_space_group_name_H-M_alt 'P 1'
_space_group_IT_number 1
_space_group_name_Hall 'P 1'
_cell_length_a 4.616
_cell_length_b 4.616
_cell_length_c 4.616
_cell_angle_alpha 60.00
_cell_angle_beta 60.00
_cell_angle_gamma 60.00
loop_
_atom_site_label
_atom_site_type_symbol
_atom_site_fract_x
_atom_site_fract_y
_atom_site_fract_z
P1 P 0.000 0.000 0.000
Ac1 Ac 0.500 0.500 0.500
H1 H 0.750 0.750 0.750
Cu1 Cu 0.250 0.250 0.250
# space-group type	F-43m, No. 216
# D(E_F)	0.229	states/eV/cell

---

#ii
# AcCuPH | the Alexandria database | GGA-PBE | optimized geometry
data_AcCuPH
_chemical_formula_sum 'Ac2 Cu2 P2 H2'
_space_group_name_H-M_alt 'P 1'
_space_group_IT_number 1
_space_group_name_Hall 'P 1'
_cell_length_a 4.070
_cell_length_b 4.070
_cell_length_c 8.389
_cell_angle_alpha 90.00
_cell_angle_beta 90.00
_cell_angle_gamma 90.00
loop_
_atom_site_label
_atom_site_type_symbol
_atom_site_fract_x
_atom_site_fract_y
_atom_site_fract_z
Ac1 Ac 0.000 0.500 0.311
Ac2 Ac 0.500 0.000 0.689
H1 H 0.500 0.500 0.500
H2 H 0.000 0.000 0.500
P1 P 0.000 0.500 0.837
P2 P 0.500 0.000 0.163
Cu1 Cu 0.500 0.500 0.000
Cu2 Cu 0.000 0.000 0.000
# space-group type	P4/nmm, No. 129
# D(E_F)	0.412	states/eV/cell

---

Name the most stable of them. #ii.

---

#i
# AcHfCu2 | the Alexandria database | GGA-PBE | optimized geometry
data_AcHfCu2
_chemical_formula_sum 'Ac1 Hf1 Cu2'
_space_group_name_H-M_alt 'P 1'
_space_group_IT_number 1
_space_group_name_Hall 'P 1'
_cell_length_a 3.689
_cell_length_b 3.689
_cell_length_c 8.197
_cell_angle_alpha 77.00
_cell_angle_beta 77.00
_cell_angle_gamma 60.00
loop_
_atom_site_label
_atom_site_type_symbol
_atom_site_fract_x
_atom_site_fract_y
_atom_site_fract_z
Cu1 Cu 0.735 0.735 0.794
Cu2 Cu 0.265 0.265 0.206
Hf1 Hf 0.000 0.000 0.000
Ac1 Ac 0.500 0.500 0.500
# space-group type	R-3m, No. 166
# D(E_F)	3.176	states/eV/cell

---

#ii
# AcHfCu2 | the Alexandria database | GGA-PBE | optimized geometry
data_AcHfCu2
_chemical_formula_sum 'Ac1 Hf1 Cu2'
_space_group_name_H-M_alt 'P 1'
_space_group_IT_number 1
_space_group_name_Hall 'P 1'
_cell_length_a 3.460
_cell_length_b 3.460
_cell_length_c 7.212
_cell_angle_alpha 90.00
_cell_angle_beta 90.00
_cell_angle_gamma 90.00
loop_
_atom_site_label
_atom_site_type_symbol
_atom_site_fract_x
_atom_site_fract_y
_atom_site_fract_z
Cu1 Cu 0.000 0.000 0.183
Cu2 Cu 0.000 0.000 0.817
Hf1 Hf 0.500 0.500 0.000
Ac1 Ac 0.500 0.500 0.500
# space-group type	P4/mmm, No. 123
# D(E_F)	3.716	states/eV/cell

---

Name the most stable of them. #ii.